# Nb12Al3Pt GGA-PBE relaxed
# - Formation enthalpy at 0 K: -0.272 eV per atom
data_Nb12Al3Pt
_symmetry_space_group_name_H-M 'P m m m'
_symmetry_Int_Tables_number 47
_symmetry_space_group_name_Hall '-P 2 2'
_cell_length_a 5.195
_cell_length_b 5.214
_cell_length_c 10.416
_cell_angle_alpha 90.00
_cell_angle_beta 90.00
_cell_angle_gamma 90.00
loop_
_atom_site_label
_atom_site_fract_x
_atom_site_fract_y
_atom_site_fract_z
Nb1 0.000 0.000 0.122
Nb2 0.000 0.000 0.371
Nb3 0.250 0.500 0.249
Nb4 0.500 0.247 0.500
Nb5 0.500 0.252 0.000
Al1 0.000 0.500 0.500
Al2 0.500 0.000 0.252
Pt1 0.000 0.500 0.000